First-principles (PBE) data for a relaxed KRe2H crystal, as listed in Alexandria.

a = 8.1111 Å, b = 8.1111 Å, c = 8.1111 Å
α = 90.00°, β = 90.00°, γ = 90.00°
Closest atoms and distances in Å follow each position.
Space group Fd-3m (No. 227, origin choice 2)
Unique sites:
K 0.1250 0.1250 0.1250  12 Re 3.36, 4 H 3.51, 4 K 3.51
Re 0.0000 0.0000 0.5000  2 H 1.76
H 0.1250 0.1250 0.6250  4 Re 1.76

DFT total energy	-194.923	eV per cell


First-principles (PBE) data for a relaxed ZrInS3 crystal, as listed in Alexandria.

a = 5.0339 Å, b = 5.0339 Å, c = 5.0339 Å
α = 90.00°, β = 90.00°, γ = 90.00°
Closest atoms and distances in Å follow each position.
Space group Pm-3m (No. 221)
Unique sites:
Zr 0.0000 0.0000 0.0000  6 S 2.52
In 0.5000 0.5000 0.5000  12 S 3.56
S 0.0000 0.0000 0.5000  2 Zr 2.52

DFT total energy	-27.393	eV per cell


First-principles (PBE) data for a relaxed NaLaTb4Se8 crystal, as listed in Alexandria.

a = 8.4943 Å, b = 8.4943 Å, c = 21.3520 Å
α = 90.00°, β = 90.00°, γ = 120.00°
Closest atoms and distances in Å follow each position.
Space group R3m (No. 160, hexagonal axes)
Unique sites:
Na 0.0000 0.0000 0.0000  4 Se 2.83-2.85
La 0.0000 0.0000 0.6310  6 Se 2.95-3.07
Tb 0.0000 0.0000 0.2539  4 Se 2.76-2.81
Tb 0.1731 0.3462 0.4591  6 Se 2.82-2.99
Se 0.0000 0.0000 0.3856  4 Tb 2.81-2.99
Se 0.0000 0.0000 0.8667  3 Tb 2.84, 1 Na 2.85
Se 0.0217 0.5108 0.3843  2 Tb 2.82, 1 Na 2.83, 1 La 2.95
Se 0.1738 0.3477 0.2049  3 Tb 2.76-2.98, 1 La 3.07

DFT total energy	-232.993	eV per cell


First-principles (PBE) data for a relaxed Tl14Te2Se9 crystal, as listed in Alexandria.

a = 9.8890 Å, b = 9.8890 Å, c = 10.9178 Å
α = 90.00°, β = 90.00°, γ = 120.00°
Closest atoms and distances in Å follow each position.
Space group P-3 (No. 147)
Unique sites:
Tl 0.0000 0.0000 0.2368  4 Se 2.68-2.87
Tl 0.0141 0.6646 0.4334  2 Se 3.06-3.15
Tl 0.0775 0.6940 0.8841  3 Se 3.13-3.23
Te 0.3333 0.6667 0.6508  1 Se 2.58
Se 0.0000 0.0000 0.5000  2 Tl 2.87
Se 0.0623 0.7766 0.1678  1 Tl 2.68
Se 0.3333 0.6667 0.4142  1 Te 2.58

DFT total energy	-77.531	eV per cell


First-principles (PBE) data for a relaxed TbPaPC crystal, as listed in Alexandria.

a = 3.7868 Å, b = 3.7868 Å, c = 18.8575 Å
α = 90.00°, β = 90.00°, γ = 120.00°
Closest atoms and distances in Å follow each position.
Space group R3m (No. 160, hexagonal axes)
Unique sites:
Tb 0.0000 0.0000 0.0000  3 C 2.72, 3 P 2.80
Pa 0.0000 0.0000 0.4809  3 C 2.48
P 0.0000 0.0000 0.2403  3 Pa 2.80, 3 Tb 2.80
C 0.0000 0.0000 0.7522  3 Pa 2.48, 3 Tb 2.72

ΔH_f (0 K)	-0.926	eV per atom


First-principles (PBE) data for a relaxed Ti4Pd3Au2 crystal, as listed in Alexandria.

a = 8.9393 Å, b = 3.9681 Å, c = 8.5920 Å
α = 90.00°, β = 107.69°, γ = 90.00°
Closest atoms and distances in Å follow each position.
Space group C2/m (No. 12)
Unique sites:
Ti 0.0127 0.0000 0.3387  6 Pd 2.77-2.88, 3 Au 2.82-2.90, 3 Ti 2.85-2.91
Ti 0.1658 0.5000 0.8914  4 Au 2.78-2.88, 4 Pd 2.80-2.86, 4 Ti 2.82-2.91
Pd 0.0000 0.0000 0.0000  8 Ti 2.80-2.88, 4 Au 2.84
Pd 0.1602 0.5000 0.5569  3 Pd 2.73-2.90, 6 Ti 2.77-2.86, 3 Au 2.86-2.95
Au 0.1725 0.5000 0.2180  7 Ti 2.78-2.90, 5 Pd 2.84-2.95

ΔH_f (0 K)	-0.479	eV per atom


First-principles (PBE) data for a relaxed CdIn6Ag12 crystal, as listed in Alexandria.

a = 11.5909 Å, b = 11.5909 Å, c = 10.0114 Å
α = 90.00°, β = 90.00°, γ = 120.00°
Closest atoms and distances in Å follow each position.
Space group R-3 (No. 148, hexagonal axes)
Unique sites:
Cd 0.0000 0.0000 0.0000  6 Ag 2.97, 6 In 3.16
In 0.0838 0.1778 0.7400  7 Ag 2.86-3.13, 2 In 3.09, 1 Cd 3.16
Ag 0.0036 0.2580 0.0015  4 In 2.86-3.13, 5 Ag 2.92-3.06, 1 Cd 2.97
Ag 0.0597 0.5234 0.1232  6 Ag 2.75-3.06, 1 In 3.00

ΔH_f (0 K)	0.028	eV per atom


First-principles (PBE) data for a relaxed LiSiBi3 crystal, as listed in Alexandria.

a = 5.1376 Å, b = 5.1376 Å, c = 5.1376 Å
α = 90.00°, β = 90.00°, γ = 90.00°
Closest atoms and distances in Å follow each position.
Space group Pm-3m (No. 221)
Unique sites:
Li 0.0000 0.0000 0.0000  6 Bi 2.57
Si 0.5000 0.5000 0.5000  12 Bi 3.63
Bi 0.0000 0.0000 0.5000  2 Li 2.57

DFT total energy	-16.147	eV per cell


First-principles (PBE) data for a relaxed BaTe2Au crystal, as listed in Alexandria.

a = 5.7695 Å, b = 5.7695 Å, c = 22.3696 Å
α = 90.00°, β = 90.00°, γ = 120.00°
Closest atoms and distances in Å follow each position.
Space group R-3m (No. 166, hexagonal axes)
Unique sites:
Ba 0.0000 0.0000 0.0000  6 Te 3.53
Te 0.0000 0.0000 0.3854  1 Au 2.56
Au 0.0000 0.0000 0.5000  2 Te 2.56

DFT total energy	-42.215	eV per cell


First-principles (PBE) data for a relaxed SrYTl2 crystal, as listed in Alexandria.

a = 12.6037 Å, b = 3.7415 Å, c = 5.6137 Å
α = 90.00°, β = 108.49°, γ = 90.00°
Closest atoms and distances in Å follow each position.
Space group Cm (No. 8)
Unique sites:
Sr 0.0000 0.0000 0.0000  7 Tl 3.32-3.55
Y 0.2257 0.0000 0.6222  7 Tl 3.32-3.64
Tl 0.2518 0.5000 0.1347  4 Y 3.36-3.42, 4 Tl 3.37-3.74, 3 Sr 3.44-3.55
Tl 0.4653 0.0000 0.4923  4 Sr 3.32-3.48, 3 Y 3.32-3.64, 2 Tl 3.37

ΔH_f (0 K)	-0.252	eV per atom


First-principles (PBE) data for a relaxed CrRh2 crystal, as listed in Alexandria.

a = 2.6749 Å, b = 2.6749 Å, c = 6.4957 Å
α = 90.00°, β = 90.00°, γ = 120.00°
Closest atoms and distances in Å follow each position.
Space group P-3m1 (No. 164)
Unique sites:
Cr 0.0000 0.0000 0.0000  6 Rh 2.57, 6 Cr 2.67
Rh 0.3333 0.6667 0.3156  3 Cr 2.57, 9 Rh 2.67-2.85

ΔH_f (0 K)	-0.067	eV per atom


First-principles (PBE) data for a relaxed SbP2Cl crystal, as listed in Alexandria.

a = 11.5574 Å, b = 3.3850 Å, c = 7.2451 Å
α = 90.00°, β = 101.31°, γ = 90.00°
Closest atoms and distances in Å follow each position.
Space group Cm (No. 8)
Unique sites:
Sb 0.0000 0.0000 0.0000  1 P 2.48, 2 Cl 2.69
P 0.0412 0.5000 0.6857  2 P 2.29
P 0.4058 0.5000 0.6610  2 P 2.29, 1 Sb 2.48
Cl 0.3579 0.0000 0.1409  2 Sb 2.69

DFT total energy	-33.851	eV per cell


First-principles (PBE) data for a relaxed Y2AlGe3Pt4 crystal, as listed in Alexandria.

a = 4.2546 Å, b = 4.2546 Å, c = 10.3332 Å
α = 90.00°, β = 90.00°, γ = 90.00°
Closest atoms and distances in Å follow each position.
Space group P-4m2 (No. 115)
Unique sites:
Y 0.0000 0.5000 0.2493  6 Ge 3.24-3.35, 8 Pt 3.25-3.34, 2 Al 3.35
Al 0.0000 0.0000 0.5000  4 Pt 2.52
Ge 0.0000 0.5000 0.8662  5 Pt 2.43-2.54
Ge 0.5000 0.5000 0.5000  4 Pt 2.52
Pt 0.0000 0.0000 0.0000  4 Ge 2.54
Pt 0.0000 0.5000 0.6312  3 Ge 2.43-2.52, 2 Al 2.52
Pt 0.5000 0.5000 0.0000  4 Ge 2.54

ΔH_f (0 K)	-0.967	eV per atom


First-principles (PBE) data for a relaxed CsZn2BiPt crystal, as listed in Alexandria.

a = 5.0989 Å, b = 5.0989 Å, c = 5.5588 Å
α = 90.00°, β = 90.00°, γ = 90.00°
Closest atoms and distances in Å follow each position.
Space group P4/mmm (No. 123)
Unique sites:
Cs 0.0000 0.0000 0.0000  4 Bi 3.61, 8 Zn 3.77
Zn 0.0000 0.5000 0.5000  2 Pt 2.55
Bi 0.5000 0.5000 0.0000  2 Pt 2.78
Pt 0.5000 0.5000 0.5000  4 Zn 2.55, 2 Bi 2.78

ΔH_f (0 K)	-0.092	eV per atom


First-principles (PBE) data for a relaxed LiCaSeBrF crystal, as listed in Alexandria.

a = 3.5284 Å, b = 5.8048 Å, c = 11.4290 Å
α = 90.00°, β = 90.00°, γ = 90.00°
Closest atoms and distances in Å follow each position.
Space group Amm2 (No. 38)
Unique sites:
Li 0.0000 0.0000 0.0000  1 F 1.90
Ca 0.5000 0.0000 0.7157  2 F 2.22
Se 0.0000 0.0000 0.5007  2 Li 2.90, 2 Ca 3.03
Br 0.5000 0.0000 0.1636  2 Li 2.57
F 0.0000 0.0000 0.8334  1 Li 1.90

DFT total energy	-41.034	eV per cell


First-principles (PBE) data for a relaxed YTiNi2As crystal, as listed in Alexandria.

a = 4.5943 Å, b = 4.5943 Å, c = 5.2329 Å
α = 90.00°, β = 90.00°, γ = 90.00°
Closest atoms and distances in Å follow each position.
Space group P4/mmm (No. 123)
Unique sites:
Y 0.0000 0.0000 0.0000  4 Ni 2.30
Ti 0.5000 0.5000 0.5000  4 As 3.25, 8 Ni 3.48
Ni 0.0000 0.5000 0.0000  2 Y 2.30
As 0.0000 0.0000 0.5000  2 Y 2.62

ΔH_f (0 K)	1.004	eV per atom


First-principles (PBE) data for a relaxed La2AlZn4Ag3 crystal, as listed in Alexandria.

a = 4.2837 Å, b = 4.2837 Å, c = 11.5651 Å
α = 90.00°, β = 90.00°, γ = 90.00°
Closest atoms and distances in Å follow each position.
Space group P-4m2 (No. 115)
Unique sites:
La 0.0000 0.5000 0.2444  8 Zn 3.29-3.65, 6 Ag 3.31-3.55, 2 Al 3.55
Al 0.5000 0.5000 0.0000  4 Zn 2.64
Zn 0.0000 0.0000 0.5000  4 Ag 2.68
Zn 0.0000 0.5000 0.8660  3 Ag 2.62-2.64, 2 Al 2.64
Zn 0.5000 0.5000 0.5000  4 Ag 2.68
Ag 0.0000 0.0000 0.0000  4 Zn 2.64
Ag 0.0000 0.5000 0.6396  5 Zn 2.62-2.68

ΔH_f (0 K)	-0.278	eV per atom


First-principles (PBE) data for a relaxed AcHoNi crystal, as listed in Alexandria.

a = 3.5788 Å, b = 3.5788 Å, c = 12.8629 Å
α = 90.00°, β = 90.00°, γ = 90.00°
Closest atoms and distances in Å follow each position.
Space group I4mm (No. 107)
Unique sites:
Ac 0.0000 0.0000 0.0000  4 Ni 3.23, 1 Ho 3.37, 4 Ac 3.58
Ho 0.0000 0.0000 0.2617  4 Ni 2.87
Ni 0.0000 0.0000 0.6562  4 Ho 2.87

ΔH_f (0 K)	-0.129	eV per atom


First-principles (PBE) data for a relaxed LiAc2Cd4Hg3 crystal, as listed in Alexandria.

a = 4.5863 Å, b = 4.5863 Å, c = 12.8562 Å
α = 90.00°, β = 90.00°, γ = 90.00°
Closest atoms and distances in Å follow each position.
Space group P-4m2 (No. 115)
Unique sites:
Li 0.0000 0.0000 0.0000  4 Cd 2.86
Ac 0.0000 0.5000 0.7453  4 Hg 3.50, 8 Cd 3.60-3.90
Cd 0.0000 0.0000 0.5000  4 Hg 2.95, 4 Cd 3.24
Cd 0.0000 0.5000 0.1333  3 Hg 2.86-2.87, 2 Li 2.86
Cd 0.5000 0.5000 0.5000  4 Hg 2.95, 4 Cd 3.24
Hg 0.0000 0.5000 0.3562  5 Cd 2.87-2.95
Hg 0.5000 0.5000 0.0000  4 Cd 2.86

ΔH_f (0 K)	-0.294	eV per atom


First-principles (PBE) data for a relaxed Hf4PbS crystal, as listed in Alexandria.

a = 6.0811 Å, b = 5.1931 Å, c = 8.1739 Å
α = 90.00°, β = 90.00°, γ = 90.00°
Closest atoms and distances in Å follow each position.
Space group Pmn2_1 (No. 31)
Unique sites:
Hf 0.0000 0.1043 0.0000  2 S 2.66, 1 Pb 2.92
Hf 0.0000 0.8586 0.6492  1 S 2.64, 1 Pb 2.86
Hf 0.2486 0.3590 0.7018  2 S 2.71, 2 Hf 3.02-3.03
Pb 0.0000 0.1578 0.3555  4 Hf 2.86-3.20
S 0.0000 0.6042 0.9292  7 Hf 2.64-2.71

DFT total energy	-98.633	eV per cell


First-principles (PBE) data for a relaxed HAu crystal, as listed in Alexandria.

a = 7.5806 Å, b = 7.5806 Å, c = 3.1158 Å
α = 90.00°, β = 90.00°, γ = 120.00°
Closest atoms and distances in Å follow each position.
Space group P6_3/m (No. 176)
Unique sites:
H 0.1634 0.4421 0.2500  3 Au 1.88-1.89
Au 0.0082 0.3286 0.7500  3 H 1.88-1.89

DFT total energy	-36.437	eV per cell


First-principles (PBE) data for a relaxed MnAgAuBr2 crystal, as listed in Alexandria.

a = 5.4796 Å, b = 5.4796 Å, c = 5.0549 Å
α = 90.00°, β = 90.00°, γ = 90.00°
Closest atoms and distances in Å follow each position.
Space group P4/mmm (No. 123)
Unique sites:
Mn 0.0000 0.0000 0.0000  2 Au 2.53
Ag 0.5000 0.5000 0.0000  8 Br 3.73, 4 Mn 3.87
Au 0.0000 0.0000 0.5000  2 Mn 2.53, 4 Br 2.74
Br 0.0000 0.5000 0.5000  2 Au 2.74

DFT total energy	-15.808	eV per cell


First-principles (PBE) data for a relaxed LiHgIr crystal, as listed in Alexandria.

a = 2.7975 Å, b = 4.1427 Å, c = 8.4829 Å
α = 90.00°, β = 90.00°, γ = 90.00°
Closest atoms and distances in Å follow each position.
Space group Imm2 (No. 44)
Unique sites:
Li 0.0000 0.0000 0.0000  5 Hg 2.77-2.90, 2 Li 2.80, 5 Ir 2.83-2.91
Hg 0.0000 0.0000 0.6737  5 Li 2.77-2.90, 2 Hg 2.80, 5 Ir 2.80-2.88
Ir 0.0000 0.0000 0.3433  2 Ir 2.80, 5 Hg 2.80-2.88, 5 Li 2.83-2.91

ΔH_f (0 K)	0.139	eV per atom


First-principles (PBE) data for a relaxed ZrCdPb2 crystal, as listed in Alexandria.

a = 3.3505 Å, b = 5.2368 Å, c = 6.1095 Å
α = 90.00°, β = 105.13°, γ = 90.00°
Closest atoms and distances in Å follow each position.
Space group Pm (No. 6)
Unique sites:
Zr 0.0000 0.0000 0.0000  7 Pb 3.14-3.24, 2 Cd 3.22, 2 Zr 3.35
Cd 0.1570 0.5000 0.3173  7 Pb 3.16-3.24, 2 Zr 3.22, 2 Cd 3.35
Pb 0.4337 0.5000 0.8600  3 Cd 3.16-3.20, 4 Zr 3.22, 2 Pb 3.35
Pb 0.7303 0.0000 0.4676  3 Zr 3.14-3.24, 4 Cd 3.23-3.24, 2 Pb 3.35

ΔH_f (0 K)	-0.011	eV per atom